Material: SmCr4Cu3O12
Method: DFT, PBE with a Hubbard U
State: relaxed

Calculated values
VASP energy   -138.871 eV per formula unit
ρ   6032 kg/m³

Unit cell a=6.4231 b=6.4231 c=6.4231 alpha=109.47 beta=109.47 gamma=109.47
Last column: nearest neighbours and their distance in Å.
Atoms (fractional coordinates):
O (0.6918, 0.1671, 0.8590)  1 Cu 1.89, 2 Cr 2.00
O (0.8329, 0.1410, 0.3082)  1 Cu 1.89, 2 Cr 2.00
O (0.1410, 0.3082, 0.8329)  1 Cu 1.89, 2 Cr 2.00
O (0.8329, 0.5247, 0.6918)  1 Cu 1.89, 2 Cr 2.00
O (0.3082, 0.1671, 0.4753)  1 Cu 1.89, 2 Cr 2.00
O (0.3082, 0.8329, 0.1410)  1 Cu 1.89, 2 Cr 2.00
O (0.8590, 0.6918, 0.1671)  1 Cu 1.89, 2 Cr 2.00
O (0.1671, 0.8590, 0.6918)  1 Cu 1.89, 2 Cr 2.00
O (0.5247, 0.6918, 0.8329)  1 Cu 1.89, 2 Cr 2.00
O (0.4753, 0.3082, 0.1671)  1 Cu 1.89, 2 Cr 2.00
O (0.1671, 0.4753, 0.3082)  1 Cu 1.89, 2 Cr 2.00
O (0.6918, 0.8329, 0.5247)  1 Cu 1.89, 2 Cr 2.00
Cu (0.5000, 0.0000, 0.5000)  4 O 1.89
Cu (0.5000, 0.5000, 0.0000)  4 O 1.89
Cu (0.0000, 0.5000, 0.5000)  4 O 1.89
Sm (0.0000, 0.0000, 0.0000)  12 O 2.60
Cr (0.0000, 0.5000, 0.0000)  6 O 2.00
Cr (0.5000, 0.5000, 0.5000)  6 O 2.00
Cr (0.0000, 0.0000, 0.5000)  6 O 2.00
Cr (0.5000, 0.0000, 0.0000)  6 O 2.00